Record 1
The following is a DFT calculation (PBE) of a relaxed Mn5GeI12 crystal.

Lattice parameters (Å, degrees): 7.2330 12.5426 15.0490 90.00 90.07 90.00
Closest atoms and distances in Å follow each position.
Space group C2/m (No. 12)
One atom of each set of equivalent atoms:
Mn 0.0000 0.0000 0.0000 [2 per cell]  6 I 2.92
Mn 0.0000 0.1666 0.5000 [4 per cell]  6 I 2.91
Mn 0.0000 0.3335 0.0000 [4 per cell]  6 I 2.92
Ge 0.0000 0.5000 0.5000 [2 per cell]  6 I 3.01
I 0.1557 0.0000 0.6118 [4 per cell]  2 Mn 2.91, 1 Ge 3.01
I 0.1663 0.1667 0.8908 [8 per cell]  3 Mn 2.92
I 0.1663 0.5000 0.8907 [4 per cell]  3 Mn 2.92
I 0.1724 0.3278 0.6118 [8 per cell]  2 Mn 2.91, 1 Ge 3.01

Computed properties:
Total magnetization in μB/atom: 0.277
Calculated volume in Å³/cell: 1365.26
Calculated total energy in eV/atom: -4.252

---

Record 2
The following is a DFT calculation (PBE) of a relaxed NiIrPt2 crystal.

Lattice parameters (Å, degrees): 3.7563 3.7563 17.7240 90.00 90.00 90.00
Closest atoms and distances in Å follow each position.
Space group I-42d (No. 122)
One atom of each set of equivalent atoms:
Ni 0.0000 0.0000 0.0000 [4 per cell]  4 Pt 2.58, 4 Ir 2.66
Ir 0.0000 0.0000 0.5000 [4 per cell]  4 Pt 2.59, 4 Ni 2.66
Pt 0.2484 0.2500 0.1250 [8 per cell]  2 Ni 2.58, 2 Ir 2.59, 4 Pt 2.65-2.66

Computed properties:
Total magnetization in μB/atom: 0.000
ΔE_f in eV/atom: 0.350
Calculated volume in Å³/cell: 250.09
Calculated total energy in eV/atom: -6.331